Entry from the Alexandria database: a geometry-optimized NbCrHIr2 structure (PBE).

The structure belongs to space group P4/mmm (No. 123); the cell edges are 3.9116, 3.9116 and 4.0420 Å and the angles 90.00°, 90.00° and 90.00°. The distinct sites, in fractional coordinates, are Nb at (0.0000, 0.0000, 0.0000), Cr at (0.5000, 0.5000, 0.0000), H at (0.0000, 0.0000, 0.5000) and Ir at (0.0000, 0.5000, 0.5000).

As for the volume: 62 Å³/f.u. The excess energy over the best structure of this formula in the dataset comes out at 81.3 meV per atom.